Entry 1:
# TbPuPb2 (GGA-PBE, optimized geometry)
# Energy (eV per atom): -6.88
# E_form (eV/atom): -0.284
# Crystal system: tetragonal
# Fermi-level density of states (states/eV per cell): 11.62
data_TbPuPb2
_space_group_name_H-M_alt 'P 4/m m m'
_space_group_IT_number 123
_space_group_name_Hall '-P 4 2'
_cell_length_a 4.985
_cell_length_b 4.985
_cell_length_c 4.554
_cell_angle_alpha 90.00
_cell_angle_beta 90.00
_cell_angle_gamma 90.00
loop_
_atom_site_label
_atom_site_fract_x
_atom_site_fract_y
_atom_site_fract_z
Tb1 0.000 0.000 0.000
Pu1 0.500 0.500 0.000
Pb1 0.000 0.500 0.500



Entry 2:
# TbPuPb6 (GGA-PBE, optimized geometry)
# Energy (eV per atom): -5.29
# E_form (eV/atom): -0.136
# Crystal system: tetragonal
# Fermi-level density of states (states/eV per cell): 13.93
data_TbPuPb6
_space_group_name_H-M_alt 'P 4/m m m'
_space_group_IT_number 123
_space_group_name_Hall '-P 4 2'
_cell_length_a 5.693
_cell_length_b 5.693
_cell_length_c 7.349
_cell_angle_alpha 90.00
_cell_angle_beta 90.00
_cell_angle_gamma 90.00
loop_
_atom_site_label
_atom_site_fract_x
_atom_site_fract_y
_atom_site_fract_z
Tb1 0.000 0.000 0.000
Pu1 0.000 0.000 0.500
Pb1 0.000 0.500 0.245
Pb2 0.500 0.500 0.000
Pb3 0.500 0.500 0.500



Entry 3:
# TbPuZnPb (GGA-PBE, optimized geometry)
# Energy (eV per atom): -6.19
# E_form (eV/atom): -0.204
# Crystal system: cubic
# Fermi-level density of states (states/eV per cell): 38.33
data_TbPuZnPb
_space_group_name_H-M_alt 'F -4 3 m'
_space_group_IT_number 216
_space_group_name_Hall 'F -4 2 3'
_cell_length_a 7.487
_cell_length_b 7.487
_cell_length_c 7.487
_cell_angle_alpha 90.00
_cell_angle_beta 90.00
_cell_angle_gamma 90.00
loop_
_atom_site_label
_atom_site_fract_x
_atom_site_fract_y
_atom_site_fract_z
Tb1 0.000 0.000 0.000
Pu1 0.000 0.000 0.500
Zn1 0.250 0.250 0.250
Pb1 0.250 0.250 0.750



Entry 4:
# Pu2TcPb (GGA-PBE, optimized geometry)
# Energy (eV per atom): -10.76
# E_form (eV/atom): -0.074
# Crystal system: tetragonal
# Fermi-level density of states (states/eV per cell): 11.05
# E above lowest polymorph (kJ/mol of atoms): 0.0
data_Pu2TcPb
_space_group_name_H-M_alt 'P 4/m m m'
_space_group_IT_number 123
_space_group_name_Hall '-P 4 2'
_cell_length_a 3.253
_cell_length_b 3.253
_cell_length_c 8.889
_cell_angle_alpha 90.00
_cell_angle_beta 90.00
_cell_angle_gamma 90.00
loop_
_atom_site_label
_atom_site_fract_x
_atom_site_fract_y
_atom_site_fract_z
Pu1 0.000 0.000 0.202
Tc1 0.500 0.500 0.000
Pb1 0.500 0.500 0.500



Entry 5:
# Pu2TcPb (GGA-PBE, optimized geometry)
# Energy (eV per atom): -10.56
# E_form (eV/atom): 0.120
# Crystal system: tetragonal
# Fermi-level density of states (states/eV per cell): 9.83
# E above lowest polymorph (kJ/mol of atoms): 18.7
data_Pu2TcPb
_space_group_name_H-M_alt 'P 4/m m m'
_space_group_IT_number 123
_space_group_name_Hall '-P 4 2'
_cell_length_a 4.485
_cell_length_b 4.485
_cell_length_c 4.472
_cell_angle_alpha 90.00
_cell_angle_beta 90.00
_cell_angle_gamma 90.00
loop_
_atom_site_label
_atom_site_fract_x
_atom_site_fract_y
_atom_site_fract_z
Pu1 0.000 0.500 0.000
Tc1 0.000 0.000 0.500
Pb1 0.500 0.500 0.500



Entry 6:
# Pu2TcPb (GGA-PBE, optimized geometry)
# Energy (eV per atom): -10.42
# E_form (eV/atom): 0.260
# Crystal system: trigonal
# Fermi-level density of states (states/eV per cell): 39.63
# E above lowest polymorph (kJ/mol of atoms): 32.3
data_Pu2TcPb
_space_group_name_H-M_alt 'R -3 m'
_space_group_IT_number 166
_space_group_name_Hall '-R 3 2"'
_cell_length_a 3.2906
_cell_length_b 3.2906
_cell_length_c 32.6243
_cell_angle_alpha 90.00
_cell_angle_beta 90.00
_cell_angle_gamma 120.00
loop_
_atom_site_label
_atom_site_fract_x
_atom_site_fract_y
_atom_site_fract_z
Pu1 0.0000 0.0000 0.1019
Tc1 0.0000 0.0000 0.5000
Pb1 0.0000 0.0000 0.0000



Entry 7:
# Pu2TePb (GGA-PBE, optimized geometry)
# Energy (eV per atom): -9.41
# Formation energy from raw total energies (eV per atom): -0.53
# Crystal system: tetragonal
# Fermi-level density of states (states/eV per cell): 16.20
# E above lowest polymorph (kJ/mol of atoms): 0.0
data_Pu2TePb
_space_group_name_H-M_alt 'P 4/m m m'
_space_group_IT_number 123
_space_group_name_Hall '-P 4 2'
_cell_length_a 3.642
_cell_length_b 3.642
_cell_length_c 8.380
_cell_angle_alpha 90.00
_cell_angle_beta 90.00
_cell_angle_gamma 90.00
loop_
_atom_site_label
_atom_site_fract_x
_atom_site_fract_y
_atom_site_fract_z
Pu1 0.000 0.000 0.233
Te1 0.500 0.500 0.000
Pb1 0.500 0.500 0.500



Entry 8:
# Pu5Te4Pb (GGA-PBE, optimized geometry)
# Energy (eV per atom): -9.63
# Formation energy from raw total energies (eV per atom): -0.84
# Crystal system: tetragonal
# Fermi-level density of states (states/eV per cell): 117.05
data_Pu5Te4Pb
_space_group_name_H-M_alt 'I 4'
_space_group_IT_number 79
_cell_length_a 9.968
_cell_length_b 9.968
_cell_length_c 6.298
_cell_angle_alpha 90.00
_cell_angle_beta 90.00
_cell_angle_gamma 90.00
loop_
_space_group_symop_operation_xyz
'x,y,z'
'-y,x,z'
'-x,-y,z'
'y,-x,z'
'x+1/2,y+1/2,z+1/2'
'-y+1/2,x+1/2,z+1/2'
'-x+1/2,-y+1/2,z+1/2'
'y+1/2,-x+1/2,z+1/2'
loop_
_atom_site_label
_atom_site_fract_x
_atom_site_fract_y
_atom_site_fract_z
Pu1 0.000 0.000 0.000
Pu2 0.101 0.699 0.499
Te1 0.100 0.699 0.999
Pb1 0.000 0.000 0.500



Entry 9:
# PuTe5Pb4 (GGA-PBE, optimized geometry)
# Energy (eV per atom): -5.00
# Formation energy from raw total energies (eV per atom): -0.52
# Crystal system: tetragonal
# Fermi-level density of states (states/eV per cell): 32.70
data_PuTe5Pb4
_space_group_name_H-M_alt 'I 4/m m m'
_space_group_IT_number 139
_space_group_name_Hall '-I 4 2'
_cell_length_a 4.606
_cell_length_b 4.606
_cell_length_c 32.688
_cell_angle_alpha 90.00
_cell_angle_beta 90.00
_cell_angle_gamma 90.00
loop_
_atom_site_label
_atom_site_fract_x
_atom_site_fract_y
_atom_site_fract_z
Pu1 0.000 0.000 0.000
Te1 0.000 0.000 0.098
Te2 0.000 0.000 0.300
Te3 0.000 0.000 0.500
Pb1 0.000 0.000 0.200
Pb2 0.000 0.000 0.400



Entry 10:
# Pu2TePb (GGA-PBE, optimized geometry)
# Energy (eV per atom): -9.33
# Formation energy from raw total energies (eV per atom): -0.45
# Crystal system: trigonal
# Fermi-level density of states (states/eV per cell): 72.81
# E above lowest polymorph (kJ/mol of atoms): 8.2
data_Pu2TePb
_space_group_name_H-M_alt 'R -3 m'
_space_group_IT_number 166
_space_group_name_Hall '-R 3 2"'
_cell_length_a 4.2453
_cell_length_b 4.2453
_cell_length_c 24.4161
_cell_angle_alpha 90.00
_cell_angle_beta 90.00
_cell_angle_gamma 120.00
loop_
_atom_site_label
_atom_site_fract_x
_atom_site_fract_y
_atom_site_fract_z
Pu1 0.0000 0.0000 0.2461
Te1 0.0000 0.0000 0.5000
Pb1 0.0000 0.0000 0.0000



Entry 11:
# Pu2TePb (GGA-PBE, optimized geometry)
# Energy (eV per atom): -9.27
# Formation energy from raw total energies (eV per atom): -0.39
# Crystal system: cubic
# Fermi-level density of states (states/eV per cell): 78.40
# E above lowest polymorph (kJ/mol of atoms): 13.6
data_Pu2TePb
_space_group_name_H-M_alt 'F m -3 m'
_space_group_IT_number 225
_space_group_name_Hall '-F 4 2 3'
_cell_length_a 7.623
_cell_length_b 7.623
_cell_length_c 7.623
_cell_angle_alpha 90.00
_cell_angle_beta 90.00
_cell_angle_gamma 90.00
loop_
_atom_site_label
_atom_site_fract_x
_atom_site_fract_y
_atom_site_fract_z
Pu1 0.250 0.250 0.250
Te1 0.000 0.000 0.000
Pb1 0.000 0.000 0.500



Entry 12:
# Pu3Te12Pb5 (GGA-PBE, optimized geometry)
# Energy (eV per atom): -5.36
# Formation energy from raw total energies (eV per atom): -0.40
# Crystal system: cubic
# Fermi-level density of states (states/eV per cell): 290.99
data_Pu3Te12Pb5
_space_group_name_H-M_alt 'I a -3 d'
_space_group_IT_number 230
_space_group_name_Hall '-I 4bd 2c 3'
_cell_length_a 18.314
_cell_length_b 18.314
_cell_length_c 18.314
_cell_angle_alpha 90.00
_cell_angle_beta 90.00
_cell_angle_gamma 90.00
loop_
_atom_site_label
_atom_site_fract_x
_atom_site_fract_y
_atom_site_fract_z
Pu1 0.000 0.250 0.125
Te1 0.013 0.073 0.656
Pb1 0.000 0.000 0.000
Pb2 0.000 0.250 0.375